Material: ReSiIr2
Method: DFT, PBE-GGA
State: optimized geometry

Unit cell a=4.6861 b=4.6861 c=4.6861 alpha=131.48 beta=131.48 gamma=71.06
Last column: nearest neighbours and their distance in Å.
Sites, in units of the cell vectors:
Ir 0.5000 0.5000 0.0000  4 Re 2.71, 4 Si 2.71, 4 Ir 2.72
Si 0.7500 0.2500 0.5000  8 Ir 2.71, 4 Re 2.72
Re 0.2500 0.7500 0.5000  8 Ir 2.71, 4 Si 2.72
Ir 0.0000 0.0000 0.0000  4 Si 2.71, 4 Re 2.71, 4 Ir 2.72

Properties
uncorrected formation energy: -103 meV per atom
total energy: -36.00 eV for the cell shown
theoretical density: 17.58 g/cm³
symmetry: No. 139
V: 14.14 Å³ per atom
magnetization: 0.00 μB per cell